This record from Alexandria describes a relaxed structure of Ti2Cd2C. The functional is GGA-PBE.

Structure (POSCAR):
```
Ti2Cd2C
1.0
-1.7928 1.7928 7.0801
1.7928 -1.7928 7.0801
1.7928 1.7928 -7.0801
Ti Cd C
2 2 1
direct
0.0707 0.0707 0.0000
0.9293 0.9293 0.0000
0.2500 0.7500 0.5000
0.7500 0.2500 0.5000
0.5000 0.5000 0.0000
```

- space-group type = I4/mmm
- electronic total energy (eV/f.u.) = -21.3
- total moment (μB/cell) = 0.176
- formation energy from the elements (meV per atom) = 1109
- ΔE to the lowest computed polymorph (eV per atom) = 1.5417